Here is an optimized crystal structure of PaCo3Ni from the Alexandria database. Energies are from PBE-GGA.

Cell and atoms, written as extended XYZ:
```
10
Lattice="3.888 0.000 0.000 0.000 5.812 0.000 0.000 0.000 6.048" Properties=species:S:1:pos:R:3 pbc="T T T"
Pa 1.944 0.000 1.437
Pa 0.000 2.906 4.611
Co 0.000 4.061 1.516
Co 1.944 4.656 4.531
Co 1.944 1.156 4.531
Co 0.000 1.750 1.516
Co 0.000 0.000 5.703
Co 1.944 2.906 0.344
Ni 0.000 0.000 3.365
Ni 1.944 2.906 2.682
```

Calculated values
**Offset from the most stable computed form**: 0.0 meV per atom